# LiNdTmPt (GGA-PBE, relaxed)
# Total magnetization = 0.000 μB per formula unit
# ΔE_f = -0.609 eV/atom
# Space group = F-43m, No. 216
# E = -19.6 eV per cell
data_LiNdTmPt
_space_group_name_H-M_alt 'P 1'
_space_group_IT_number 1
_space_group_name_Hall 'P 1'
_cell_length_a 5.037
_cell_length_b 5.037
_cell_length_c 5.037
_cell_angle_alpha 60.00
_cell_angle_beta 60.00
_cell_angle_gamma 60.00
loop_
_atom_site_label
_atom_site_type_symbol
_atom_site_fract_x
_atom_site_fract_y
_atom_site_fract_z
Li1 Li 0.000 0.000 0.000
Nd1 Nd 0.250 0.250 0.250
Tm1 Tm 0.750 0.750 0.750
Pt1 Pt 0.500 0.500 0.500